# 1
Material: SrThNbN3
Method: DFT, GGA-PBE
State: relaxed

D(E_F) ... 6.55 states/eV per cell
E_form (uncorrected) ... -23.70 kcal/mol of atoms

a = 6.881 Å, b = 3.623 Å, c = 9.573 Å
α = 90.00°, β = 97.52°, γ = 90.00°
Space group P2_1/m (No. 11)
Symmetry-distinct sites (fractional):
Sr (0.208, 0.250, 0.235) (multiplicity 2)
Th (0.193, 0.250, 0.613) (multiplicity 2)
Nb (0.382, 0.750, 0.909) (multiplicity 2)
N (0.148, 0.750, 0.768) (multiplicity 2)
N (0.152, 0.750, 0.438) (multiplicity 2)
N (0.489, 0.750, 0.142) (multiplicity 2)

# 2
Material: HoSb2Pt9
Method: DFT, GGA-PBE
State: relaxed

D(E_F) ... 5.77 states/eV per cell
E_form (uncorrected) ... -10.82 kcal/mol of atoms

a = 4.097 Å, b = 4.097 Å, c = 12.269 Å
α = 90.00°, β = 90.00°, γ = 90.00°
Space group P4/mmm (No. 123)
Symmetry-distinct sites (fractional):
Ho (0.000, 0.000, 0.000) (multiplicity 1)
Sb (0.000, 0.000, 0.331) (multiplicity 2)
Pt (0.000, 0.500, 0.169) (multiplicity 4)
Pt (0.000, 0.500, 0.500) (multiplicity 2)
Pt (0.500, 0.500, 0.000) (multiplicity 1)
Pt (0.500, 0.500, 0.338) (multiplicity 2)

# 3
Material: HoPuAg2Te4
Method: DFT, GGA-PBE
State: relaxed

D(E_F) ... 24.91 states/eV per cell
E_form (uncorrected) ... -13.34 kcal/mol of atoms

a = 7.580 Å, b = 7.700 Å, c = 8.394 Å
α = 90.00°, β = 90.00°, γ = 90.00°
Space group I222 (No. 23)
Symmetry-distinct sites (fractional):
Ho (0.000, 0.000, 0.000) (multiplicity 2)
Pu (0.000, 0.000, 0.500) (multiplicity 2)
Ag (0.000, 0.500, 0.332) (multiplicity 4)
Te (0.230, 0.238, 0.811) (multiplicity 8)

# 4
Material: Pr4ZnIr
Method: DFT, GGA-PBE
State: relaxed

Formation energy from the elements ... -0.3743 eV/atom
Energy above the lowest structure with this stoichiometry ... 0 meV per atom
D(E_F) ... 68.55 states/eV per cell

a = 14.032 Å, b = 14.032 Å, c = 14.032 Å
α = 90.00°, β = 90.00°, γ = 90.00°
Space group F-43m (No. 216)
Symmetry-distinct sites (fractional):
Pr (0.000, 0.000, 0.189) (multiplicity 24)
Pr (0.057, 0.250, 0.750) (multiplicity 24)
Pr (0.101, 0.101, 0.399) (multiplicity 16)
Zn (0.172, 0.172, 0.172) (multiplicity 16)
Ir (0.108, 0.108, 0.608) (multiplicity 16)

# 5
Material: GdErIr
Method: DFT, GGA-PBE
State: relaxed

Formation energy from the elements ... -0.5583 eV/atom
Energy above the lowest structure with this stoichiometry ... 130 meV per atom
D(E_F) ... 2.24 states/eV per cell

a = 4.1136 Å, b = 4.1136 Å, c = 6.0813 Å
α = 90.00°, β = 90.00°, γ = 120.00°
Space group P3m1 (No. 156)
Symmetry-distinct sites (fractional):
Gd (0.0000, 0.0000, 0.0000) (multiplicity 1)
Er (0.3333, 0.6667, 0.5366) (multiplicity 1)
Ir (0.6667, 0.3333, 0.7619) (multiplicity 1)

# 6
Material: RbGeMo2
Method: DFT, GGA-PBE
State: relaxed

Formation energy from the elements ... 1.2349 eV/atom
D(E_F) ... 16.50 states/eV per cell

a = 4.723 Å, b = 4.723 Å, c = 18.793 Å
α = 90.00°, β = 90.00°, γ = 90.00°
Space group I-42d (No. 122)
Symmetry-distinct sites (fractional):
Rb (0.000, 0.000, 0.000) (multiplicity 4)
Ge (0.000, 0.000, 0.500) (multiplicity 4)
Mo (0.066, 0.250, 0.625) (multiplicity 8)

# 7
Material: HoSi2Ir2Pt
Method: DFT, GGA-PBE
State: relaxed

D(E_F) ... 3.95 states/eV per cell
E_form (uncorrected) ... -6.57 kcal/mol of atoms

a = 4.507 Å, b = 4.507 Å, c = 5.464 Å
α = 90.00°, β = 90.00°, γ = 90.00°
Space group P4/mmm (No. 123)
Symmetry-distinct sites (fractional):
Ho (0.000, 0.000, 0.000) (multiplicity 1)
Si (0.000, 0.500, 0.500) (multiplicity 2)
Ir (0.500, 0.500, 0.239) (multiplicity 2)
Pt (0.000, 0.000, 0.500) (multiplicity 1)

# 8
Material: GdPuZn
Method: DFT, GGA-PBE
State: relaxed

Formation energy from the elements ... -0.0562 eV/atom
Energy above the lowest structure with this stoichiometry ... 0 meV per atom
D(E_F) ... 14.54 states/eV per cell

a = 3.557 Å, b = 3.557 Å, c = 12.183 Å
α = 90.00°, β = 90.00°, γ = 90.00°
Space group I4mm (No. 107)
Symmetry-distinct sites (fractional):
Gd (0.000, 0.000, 0.000) (multiplicity 2)
Pu (0.000, 0.000, 0.293) (multiplicity 2)
Zn (0.000, 0.000, 0.646) (multiplicity 2)